DFT (PBE) results for a relaxed Li4NdCd4 crystal.

Unit cell a=6.2621 b=6.2621 c=9.8804 alpha=90.00 beta=90.00 gamma=90.00
Atoms (fractional coordinates):
Li (0.0293, 0.2500, 0.1706)
Li (0.2500, 0.0293, 0.6706)
Li (0.2500, 0.4707, 0.6706)
Li (0.4707, 0.2500, 0.1706)
Li (0.5293, 0.7500, 0.8294)
Li (0.7500, 0.5293, 0.3294)
Li (0.7500, 0.9707, 0.3294)
Li (0.9707, 0.7500, 0.8294)
Nd (0.2500, 0.7500, 0.2500)
Nd (0.7500, 0.2500, 0.7500)
Cd (0.0210, 0.2500, 0.4576)
Cd (0.2500, 0.0210, 0.9576)
Cd (0.2500, 0.4790, 0.9576)
Cd (0.4790, 0.2500, 0.4576)
Cd (0.5210, 0.7500, 0.5424)
Cd (0.7500, 0.5210, 0.0424)
Cd (0.7500, 0.9790, 0.0424)
Cd (0.9790, 0.7500, 0.5424)

Results
- ΔH_f (0 K) (meV per atom) = -127
- magnetization (μB per cell) = 0.00
- DOS at the Fermi energy (states/eV per atom) = 0.58
- raw total energy (eV per formula unit) = -17.22

---

DFT (PBE) results for a relaxed LiNd6Cd5 crystal.

Unit cell a=5.4318 b=7.7361 c=8.5823 alpha=90.00 beta=108.33 gamma=90.00
Atoms (fractional coordinates):
Li (0.0000, 0.0000, 0.0000)
Nd (0.1652, 0.2491, 0.3342)
Nd (0.1652, 0.7509, 0.3342)
Nd (0.5000, 0.2512, 0.0000)
Nd (0.5000, 0.7488, 0.0000)
Nd (0.8348, 0.2491, 0.6658)
Nd (0.8348, 0.7509, 0.6658)
Cd (0.0000, 0.5000, 0.0000)
Cd (0.3363, 0.5000, 0.6676)
Cd (0.3391, 0.0000, 0.6736)
Cd (0.6609, 0.0000, 0.3264)
Cd (0.6637, 0.5000, 0.3324)

Results
- ΔH_f (0 K) (meV per atom) = -260
- magnetization (μB per cell) = 1.01
- DOS at the Fermi energy (states/eV per atom) = 1.30
- raw total energy (eV per formula unit) = -38.22

---

DFT (PBE) results for a relaxed Li3NdCd9 crystal.

Unit cell a=7.6086 b=7.6086 c=7.5873 alpha=97.28 beta=97.28 gamma=138.30
Atoms (fractional coordinates):
Li (0.0000, 0.0000, 0.0000)
Li (0.0000, 0.5000, 0.5000)
Li (0.5000, 0.0000, 0.5000)
Nd (0.0000, 0.0000, 0.5000)
Cd (0.0126, 0.6585, 0.1588)
Cd (0.2796, 0.4993, 0.2908)
Cd (0.3415, 0.9874, 0.8412)
Cd (0.4993, 0.2796, 0.2908)
Cd (0.5000, 0.5000, 0.0000)
Cd (0.5007, 0.7204, 0.7092)
Cd (0.6585, 0.0126, 0.1588)
Cd (0.7204, 0.5007, 0.7092)
Cd (0.9874, 0.3415, 0.8412)

Results
- ΔH_f (0 K) (meV per atom) = -236
- magnetization (μB per cell) = 0.00
- DOS at the Fermi energy (states/eV per atom) = 0.32
- raw total energy (eV per formula unit) = -21.81

---

DFT (PBE) results for a relaxed LiNdCd17 crystal.

Unit cell a=7.7145 b=7.7145 c=7.7145 alpha=81.90 beta=81.90 gamma=81.90
Atoms (fractional coordinates):
Li (0.0000, 0.0000, 0.0000)
Nd (0.2639, 0.2639, 0.2639)
Cd (0.0864, 0.6003, 0.6003)
Cd (0.2461, 0.2461, 0.7415)
Cd (0.2461, 0.7415, 0.2461)
Cd (0.2882, 0.5999, 0.8987)
Cd (0.2882, 0.8987, 0.5999)
Cd (0.4179, 0.9599, 0.9599)
Cd (0.4940, 0.4940, 0.4940)
Cd (0.6003, 0.0864, 0.6003)
Cd (0.5999, 0.2882, 0.8987)
Cd (0.6003, 0.6003, 0.0864)
Cd (0.5999, 0.8987, 0.2882)
Cd (0.6955, 0.6955, 0.6955)
Cd (0.7415, 0.2461, 0.2461)
Cd (0.8987, 0.2882, 0.5999)
Cd (0.8987, 0.5999, 0.2882)
Cd (0.9599, 0.4179, 0.9599)
Cd (0.9599, 0.9599, 0.4179)

Results
- ΔH_f (0 K) (meV per atom) = -82
- magnetization (μB per cell) = 0.00
- DOS at the Fermi energy (states/eV per atom) = 0.34
- raw total energy (eV per formula unit) = -23.80

---

DFT (PBE) results for a relaxed Li5Nd2Cd5 crystal.

Unit cell a=4.8447 b=5.5110 c=10.0297 alpha=90.00 beta=90.00 gamma=90.00
Atoms (fractional coordinates):
Li (0.0000, 0.0000, 0.0000)
Li (0.0000, 0.2483, 0.2527)
Li (0.0000, 0.2483, 0.7473)
Li (0.0000, 0.7517, 0.2527)
Li (0.0000, 0.7517, 0.7473)
Nd (0.5000, 0.0000, 0.5000)
Nd (0.5000, 0.5000, 0.0000)
Cd (0.0000, 0.5000, 0.5000)
Cd (0.5000, 0.0000, 0.1662)
Cd (0.5000, 0.0000, 0.8338)
Cd (0.5000, 0.5000, 0.3221)
Cd (0.5000, 0.5000, 0.6779)

Results
- ΔH_f (0 K) (meV per atom) = -218
- magnetization (μB per cell) = 0.00
- DOS at the Fermi energy (states/eV per atom) = 0.65
- raw total energy (eV per formula unit) = -26.30

---

DFT (PBE) results for a relaxed LiNd2Cd5 crystal.

Unit cell a=8.6640 b=8.6640 c=8.6640 alpha=146.73 beta=146.73 gamma=47.76
Atoms (fractional coordinates):
Li (0.0000, 0.0000, 0.0000)
Nd (0.2565, 0.2565, 0.0000)
Nd (0.7435, 0.7435, 0.0000)
Cd (0.1080, 0.6080, 0.5000)
Cd (0.3920, 0.8920, 0.5000)
Cd (0.5000, 0.5000, 0.0000)
Cd (0.6080, 0.1080, 0.5000)
Cd (0.8920, 0.3920, 0.5000)

Results
- ΔH_f (0 K) (meV per atom) = -241
- magnetization (μB per cell) = 0.00
- DOS at the Fermi energy (states/eV per atom) = 0.80
- raw total energy (eV per formula unit) = -17.95